[1]
# PBE Pr5MgCd4, optimized geometry
# formation energy from the elements = -277 meV/atom
data_Pr5MgCd4
_chemical_formula_sum 'Pr5 Mg1 Cd4'
_symmetry_space_group_name_H-M 'P 4/m m m'
_symmetry_Int_Tables_number 123
_symmetry_space_group_name_Hall '-P 4 2'
_cell_length_a 3.892
_cell_length_b 3.892
_cell_length_c 19.416
_cell_angle_alpha 90.00
_cell_angle_beta 90.00
_cell_angle_gamma 90.00
loop_
_atom_site_label
_atom_site_type_symbol
_atom_site_fract_x
_atom_site_fract_y
_atom_site_fract_z
Pr1 Pr 0.000 0.000 0.000
Pr2 Pr 0.000 0.000 0.199
Pr3 Pr 0.000 0.000 0.399
Mg1 Mg 0.500 0.500 0.500
Cd1 Cd 0.500 0.500 0.100
Cd2 Cd 0.500 0.500 0.301

[2]
# PBE TmTl2CuCl6, optimized geometry
# E = -38.1 eV per formula unit
data_TmTl2CuCl6
_chemical_formula_sum 'Tm2 Tl4 Cu2 Cl12'
_symmetry_space_group_name_H-M 'C 1 2/m 1'
_symmetry_Int_Tables_number 12
_cell_length_a 13.660
_cell_length_b 7.032
_cell_length_c 6.503
_cell_angle_alpha 90.00
_cell_angle_beta 110.37
_cell_angle_gamma 90.00
loop_
_symmetry_equiv_pos_as_xyz
'x,y,z'
'-x,-y,-z'
'-x,y,-z'
'x,-y,z'
'x+1/2,y+1/2,z'
'-x+1/2,-y+1/2,-z'
'-x+1/2,y+1/2,-z'
'x+1/2,-y+1/2,z'
loop_
_atom_site_label
_atom_site_type_symbol
_atom_site_fract_x
_atom_site_fract_y
_atom_site_fract_z
Tm1 Tm 0.000 0.000 0.000
Tl1 Tl 0.234 0.500 0.199
Cu1 Cu 0.000 0.500 0.500
Cl1 Cl 0.061 0.260 0.781
Cl2 Cl 0.191 0.000 0.274

[3]
# PBE Ac2Tb4Pm, optimized geometry
# formation energy from the elements = 88 meV/atom
data_Ac2Tb4Pm
_chemical_formula_sum 'Ac4 Tb8 Pm2'
_symmetry_space_group_name_H-M 'C m m m'
_symmetry_Int_Tables_number 65
_symmetry_space_group_name_Hall '-C 2 2'
_cell_length_a 3.663
_cell_length_b 37.806
_cell_length_c 3.672
_cell_angle_alpha 90.00
_cell_angle_beta 90.00
_cell_angle_gamma 90.00
loop_
_atom_site_label
_atom_site_type_symbol
_atom_site_fract_x
_atom_site_fract_y
_atom_site_fract_z
Ac1 Ac 0.000 0.204 0.000
Tb1 Tb 0.000 0.066 0.000
Tb2 Tb 0.000 0.369 0.500
Pm1 Pm 0.000 0.500 0.500

[4]
# PBE SrZnPb, optimized geometry
# formation energy from the elements = -290 meV/atom
data_SrZnPb
_chemical_formula_sum 'Sr2 Zn2 Pb2'
_symmetry_space_group_name_H-M 'P 1'
_symmetry_Int_Tables_number 1
_cell_length_a 4.512
_cell_length_b 6.392
_cell_length_c 6.589
_cell_angle_alpha 93.80
_cell_angle_beta 90.12
_cell_angle_gamma 110.60
loop_
_symmetry_equiv_pos_as_xyz
'x,y,z'
loop_
_atom_site_label
_atom_site_type_symbol
_atom_site_fract_x
_atom_site_fract_y
_atom_site_fract_z
Sr1 Sr 0.000 0.000 0.000
Sr2 Sr 0.394 0.787 0.469
Zn1 Zn 0.098 0.196 0.546
Zn2 Zn 0.661 0.321 0.736
Pb1 Pb 0.286 0.571 0.938
Pb2 Pb 0.688 0.377 0.253

[5]
# PBE RbMnI3, optimized geometry
# E = -18.9 eV per formula unit
data_RbMnI3
_chemical_formula_sum 'Rb2 Mn2 I6'
_symmetry_space_group_name_H-M 'P 1 21/m 1'
_symmetry_Int_Tables_number 11
_cell_length_a 4.659
_cell_length_b 9.272
_cell_length_c 11.756
_cell_angle_alpha 90.00
_cell_angle_beta 90.06
_cell_angle_gamma 90.00
loop_
_symmetry_equiv_pos_as_xyz
'x,y,z'
'-x,-y,-z'
'-x,y+1/2,-z'
'x,-y+1/2,z'
loop_
_atom_site_label
_atom_site_type_symbol
_atom_site_fract_x
_atom_site_fract_y
_atom_site_fract_z
Rb1 Rb 0.250 0.250 0.207
Mn1 Mn 0.249 0.250 0.795
I1 I 0.249 0.011 0.674
I2 I 0.251 0.750 0.065

[6]
# PBE KTl2AgCl4, optimized geometry
# E = -24.7 eV per formula unit
data_KTl2AgCl4
_chemical_formula_sum 'K4 Tl8 Ag4 Cl16'
_symmetry_space_group_name_H-M 'C 1 2/c 1'
_symmetry_Int_Tables_number 15
_cell_length_a 12.288
_cell_length_b 12.807
_cell_length_c 8.876
_cell_angle_alpha 90.00
_cell_angle_beta 133.59
_cell_angle_gamma 90.00
loop_
_symmetry_equiv_pos_as_xyz
'x,y,z'
'-x,-y,-z'
'-x,y,-z+1/2'
'x,-y,z+1/2'
'x+1/2,y+1/2,z'
'-x+1/2,-y+1/2,-z'
'-x+1/2,y+1/2,-z+1/2'
'x+1/2,-y+1/2,z+1/2'
loop_
_atom_site_label
_atom_site_type_symbol
_atom_site_fract_x
_atom_site_fract_y
_atom_site_fract_z
K1 K 0.250 0.250 0.000
Tl1 Tl 0.000 0.000 0.000
Tl2 Tl 0.250 0.250 0.500
Ag1 Ag 0.000 0.500 0.000
Cl1 Cl 0.001 0.245 0.507
Cl2 Cl 0.210 0.497 0.012

[7]
# PBE SmAgPd, optimized geometry
# formation energy from the elements = -445 meV/atom
data_SmAgPd
_chemical_formula_sum 'Sm4 Ag4 Pd4'
_symmetry_space_group_name_H-M 'F -4 3 m'
_symmetry_Int_Tables_number 216
_symmetry_space_group_name_Hall 'F -4 2 3'
_cell_length_a 6.664
_cell_length_b 6.664
_cell_length_c 6.664
_cell_angle_alpha 90.00
_cell_angle_beta 90.00
_cell_angle_gamma 90.00
loop_
_atom_site_label
_atom_site_type_symbol
_atom_site_fract_x
_atom_site_fract_y
_atom_site_fract_z
Sm1 Sm 0.000 0.000 0.000
Ag1 Ag 0.000 0.000 0.500
Pd1 Pd 0.250 0.250 0.250

[8]
# PBE TbTm3Pu2Se6, optimized geometry
# E = -87.6 eV per formula unit
data_TbTm3Pu2Se6
_chemical_formula_sum 'Tb2 Tm6 Pu4 Se12'
_symmetry_space_group_name_H-M 'C 1 2/m 1'
_symmetry_Int_Tables_number 12
_cell_length_a 17.787
_cell_length_b 4.048
_cell_length_c 8.187
_cell_angle_alpha 90.00
_cell_angle_beta 103.85
_cell_angle_gamma 90.00
loop_
_symmetry_equiv_pos_as_xyz
'x,y,z'
'-x,-y,-z'
'-x,y,-z'
'x,-y,z'
'x+1/2,y+1/2,z'
'-x+1/2,-y+1/2,-z'
'-x+1/2,y+1/2,-z'
'x+1/2,-y+1/2,z'
loop_
_atom_site_label
_atom_site_type_symbol
_atom_site_fract_x
_atom_site_fract_y
_atom_site_fract_z
Tb1 Tb 0.000 0.000 0.000
Tm1 Tm 0.000 0.000 0.500
Tm2 Tm 0.167 0.500 0.833
Pu1 Pu 0.166 0.500 0.333
Se1 Se 0.003 0.500 0.747
Se2 Se 0.165 0.000 0.589
Se3 Se 0.168 0.000 0.076

[9]
# PBE K3YRh, optimized geometry
# formation energy from the elements = 958 meV/atom
data_K3YRh
_chemical_formula_sum 'K3 Y1 Rh1'
_symmetry_space_group_name_H-M 'P m -3 m'
_symmetry_Int_Tables_number 221
_symmetry_space_group_name_Hall '-P 4 2 3'
_cell_length_a 6.053
_cell_length_b 6.053
_cell_length_c 6.053
_cell_angle_alpha 90.00
_cell_angle_beta 90.00
_cell_angle_gamma 90.00
loop_
_atom_site_label
_atom_site_type_symbol
_atom_site_fract_x
_atom_site_fract_y
_atom_site_fract_z
K1 K 0.000 0.000 0.500
Y1 Y 0.500 0.500 0.500
Rh1 Rh 0.000 0.000 0.000

[10]
# PBE LaCoMo2, optimized geometry
# formation energy from the elements = 490 meV/atom
data_LaCoMo2
_chemical_formula_sum 'La1 Co1 Mo2'
_symmetry_space_group_name_H-M 'P 4/m m m'
_symmetry_Int_Tables_number 123
_symmetry_space_group_name_Hall '-P 4 2'
_cell_length_a 2.827
_cell_length_b 2.827
_cell_length_c 8.815
_cell_angle_alpha 90.00
_cell_angle_beta 90.00
_cell_angle_gamma 90.00
loop_
_atom_site_label
_atom_site_type_symbol
_atom_site_fract_x
_atom_site_fract_y
_atom_site_fract_z
La1 La 0.000 0.000 0.000
Co1 Co 0.000 0.000 0.500
Mo1 Mo 0.500 0.500 0.309

[11]
# PBE Sm2ErP3Rh12, optimized geometry
# formation energy from the elements = -371 meV/atom
data_Sm2ErP3Rh12
_chemical_formula_sum 'Sm6 Er3 P9 Rh36'
_symmetry_space_group_name_H-M 'R -3 m'
_symmetry_Int_Tables_number 166
_symmetry_space_group_name_Hall '-R 3 2"'
_cell_length_a 8.9936
_cell_length_b 8.9936
_cell_length_c 12.8557
_cell_angle_alpha 90.00
_cell_angle_beta 90.00
_cell_angle_gamma 120.00
loop_
_atom_site_label
_atom_site_type_symbol
_atom_site_fract_x
_atom_site_fract_y
_atom_site_fract_z
Sm1 Sm 0.0000 0.0000 0.1275
Er1 Er 0.0000 0.0000 0.5000
P1 P 0.0000 0.5000 0.0000
Rh1 Rh 0.0085 0.5042 0.8265
Rh2 Rh 0.0286 0.5143 0.3813

[12]
# PBE HoSc2S, optimized geometry
# E = -24.8 eV per formula unit
data_HoSc2S
_chemical_formula_sum 'Ho4 Sc8 S4'
_symmetry_space_group_name_H-M 'C m c m'
_symmetry_Int_Tables_number 63
_symmetry_space_group_name_Hall '-C 2c 2'
_cell_length_a 3.647
_cell_length_b 11.044
_cell_length_c 8.569
_cell_angle_alpha 90.00
_cell_angle_beta 90.00
_cell_angle_gamma 90.00
loop_
_atom_site_label
_atom_site_type_symbol
_atom_site_fract_x
_atom_site_fract_y
_atom_site_fract_z
Ho1 Ho 0.000 0.063 0.250
Sc1 Sc 0.000 0.357 0.050
S1 S 0.000 0.237 0.750

[13]
# PBE Rb3TaOs, optimized geometry
# formation energy from the elements = 2587 meV/atom
data_Rb3TaOs
_chemical_formula_sum 'Rb3 Ta1 Os1'
_symmetry_space_group_name_H-M 'P m -3 m'
_symmetry_Int_Tables_number 221
_symmetry_space_group_name_Hall '-P 4 2 3'
_cell_length_a 6.774
_cell_length_b 6.774
_cell_length_c 6.774
_cell_angle_alpha 90.00
_cell_angle_beta 90.00
_cell_angle_gamma 90.00
loop_
_atom_site_label
_atom_site_type_symbol
_atom_site_fract_x
_atom_site_fract_y
_atom_site_fract_z
Rb1 Rb 0.000 0.000 0.500
Ta1 Ta 0.000 0.000 0.000
Os1 Os 0.500 0.500 0.500

[14]
# PBE ReBrCl2, optimized geometry
# E = -18.5 eV per formula unit
data_ReBrCl2
_chemical_formula_sum 'Re2 Br2 Cl4'
_symmetry_space_group_name_H-M 'A m m 2'
_symmetry_Int_Tables_number 38
_cell_length_a 3.559
_cell_length_b 4.835
_cell_length_c 13.479
_cell_angle_alpha 90.00
_cell_angle_beta 90.00
_cell_angle_gamma 90.00
loop_
_symmetry_equiv_pos_as_xyz
'x,y,z'
'-x,-y,z'
'-x,y,z'
'x,-y,z'
'x,y+1/2,z+1/2'
'-x,-y+1/2,z+1/2'
'-x,y+1/2,z+1/2'
'x,-y+1/2,z+1/2'
loop_
_atom_site_label
_atom_site_type_symbol
_atom_site_fract_x
_atom_site_fract_y
_atom_site_fract_z
Re1 Re 0.000 0.000 0.000
Br1 Br 0.500 0.000 0.134
Cl1 Cl 0.000 0.000 0.485
Cl2 Cl 0.500 0.000 0.876